# 1
5
Lattice="4.349 0.000 0.000 0.000 4.349 0.000 0.000 0.000 4.349" Properties=species:S:1:pos:R:3 comment="Be3MoSe, relaxed, DFT GGA-PBE" dos_ef_per_ev_atom=0.840 energy_ev_per_atom=-3.66 sg="Pm-3m, No. 221" e_form_raw_ev_per_atom=1.4391 pbc="T T T"
Be 0.000 0.000 2.174
Be 0.000 2.174 0.000
Be 2.174 0.000 0.000
Mo 0.000 0.000 0.000
Se 2.174 2.174 2.174

***

# 2
5
Lattice="4.551 0.000 0.000 0.000 4.551 0.000 0.000 0.000 4.551" Properties=species:S:1:pos:R:3 comment="BeMoSe3, relaxed, DFT GGA-PBE" dos_ef_per_ev_atom=0.385 energy_ev_per_atom=-4.41 sg="Pm-3m, No. 221" e_form_raw_ev_per_atom=0.5903 pbc="T T T"
Be 0.000 0.000 0.000
Mo 2.275 2.275 2.275
Se 0.000 0.000 2.275
Se 0.000 2.275 0.000
Se 2.275 0.000 0.000

***

# 3
8
Lattice="3.180 0.000 0.000 0.000 4.578 0.000 0.000 0.000 8.607" Properties=species:S:1:pos:R:3 comment="BeMoSe2, relaxed, DFT GGA-PBE" dos_ef_per_ev_atom=0.823 energy_ev_per_atom=-5.03 sg="Imm2, No. 44" e_form_raw_ev_per_atom=0.3507 pbc="T T T"
Be 0.000 0.000 0.000
Be 1.590 2.289 4.304
Mo 0.000 2.289 6.660
Mo 1.590 0.000 2.356
Se 0.000 0.000 4.457
Se 0.000 2.289 2.629
Se 1.590 0.000 6.932
Se 1.590 2.289 0.153

***

# 4
12
Lattice="3.328 0.000 0.000 -1.664 2.882 0.000 0.000 0.000 19.832" Properties=species:S:1:pos:R:3 comment="BeMoSe2, relaxed, DFT GGA-PBE" dos_ef_per_ev_atom=0.789 energy_ev_per_atom=-5.39 sg="R-3m, No. 166" e_form_raw_ev_per_atom=-0.0036 pbc="T T T"
Be 0.000 0.000 0.000
Be 0.000 1.922 13.221
Be 1.664 0.961 6.611
Mo 0.000 0.000 9.916
Mo 0.000 1.922 3.305
Mo 1.664 0.961 16.527
Se 0.000 0.000 5.134
Se 0.000 0.000 14.698
Se 0.000 1.922 8.087
Se 0.000 1.922 18.356
Se 1.664 0.961 1.476
Se 1.664 0.961 11.745

***

# 5
8
Lattice="3.704 0.000 0.000 0.000 3.704 0.000 0.000 0.000 8.356" Properties=species:S:1:pos:R:3 comment="BeMo2Se, relaxed, DFT GGA-PBE" dos_ef_per_ev_atom=0.815 energy_ev_per_atom=-6.83 sg="I-4m2, No. 119" e_form_raw_ev_per_atom=0.3865 pbc="T T T"
Be 0.000 0.000 0.000
Be 1.852 1.852 4.178
Mo 0.000 0.000 4.178
Mo 0.000 1.852 6.267
Mo 1.852 0.000 2.089
Mo 1.852 1.852 0.000
Se 0.000 1.852 2.089
Se 1.852 0.000 6.267

***

# 6
8
Lattice="3.213 0.000 0.000 0.000 4.523 0.000 0.000 0.000 8.539" Properties=species:S:1:pos:R:3 comment="BeMo2Se, relaxed, DFT GGA-PBE" dos_ef_per_ev_atom=0.612 energy_ev_per_atom=-6.85 sg="Cmm2, No. 35" e_form_raw_ev_per_atom=0.3675 pbc="T T T"
Be 0.000 0.000 0.000
Be 1.606 2.261 0.000
Mo 0.000 0.000 4.596
Mo 0.000 2.261 6.757
Mo 1.606 0.000 6.757
Mo 1.606 2.261 4.596
Se 0.000 2.261 2.349
Se 1.606 0.000 2.349

***

no.,calculated density (g cm⁻³)
1,4.08
2,6.02
3,6.97
4,6.88
5,8.11
6,7.49